Record 1
Compound: Rb2CeSeO6
Source: Alexandria
Functional: PBE
Structure: relaxed

Lattice parameters (Å, degrees): 5.857 5.857 5.857 60.00 60.00 60.00
Atoms (fractional coordinates):
1 Rb 0.250 0.250 0.250
2 Rb 0.750 0.750 0.750
3 Ce 0.000 0.000 0.000
4 Se 0.500 0.500 0.500
5 O 0.275 0.275 0.725
6 O 0.275 0.725 0.275
7 O 0.275 0.725 0.725
8 O 0.725 0.275 0.275
9 O 0.725 0.275 0.725
10 O 0.725 0.725 0.275

Results
ΔE_f (raw) (eV/atom): -1.721
Symmetry: Fm-3m, No. 225
Volume (Å³/atom): 14.21

***

Record 2
Compound: BaReS2Cl
Source: Alexandria
Functional: PBE
Structure: relaxed

Lattice parameters (Å, degrees): 5.953 5.953 5.817 90.00 90.00 90.00
Atoms (fractional coordinates):
1 Ba 0.000 0.000 0.000
2 Re 0.500 0.500 0.500
3 S 0.000 0.500 0.000
4 S 0.500 0.000 0.000
5 Cl 0.000 0.000 0.500

Results
ΔE_f (raw) (eV/atom): 0.992
Symmetry: P4/mmm, No. 123
Volume (Å³/atom): 41.23

***

The lowest volume belongs to which entry?
Rb2CeSeO6